# NaLaP2S PBE optimized geometry
# ΔE_f (raw) ... 49 meV per atom
# Excess energy over the best structure of this formula in the dataset ... 0.121 eV per formula unit
# SG ... P4/mmm (123)
data_NaLaP2S
_chemical_formula_sum 'Na1 La1 P2 S1'
_space_group_name_H-M_alt 'P 1'
_space_group_IT_number 1
_cell_length_a 5.6535
_cell_length_b 5.6535
_cell_length_c 5.5354
_cell_angle_alpha 90.00
_cell_angle_beta 90.00
_cell_angle_gamma 90.00
loop_
_space_group_symop_operation_xyz
'x,y,z'
loop_
_atom_site_label
_atom_site_fract_x
_atom_site_fract_y
_atom_site_fract_z
_atom_site_occupancy
Na1 0.0000 0.0000 0.0000 1
La1 0.5000 0.5000 0.5000 1
P1 0.0000 0.5000 0.5000 1
P2 0.5000 0.0000 0.5000 1
S1 0.5000 0.5000 0.0000 1

***

# NaLaP2S PBE optimized geometry
# ΔE_f (raw) ... 25 meV per atom
# Excess energy over the best structure of this formula in the dataset ... 0.000 eV per formula unit
# SG ... P4/mmm (123)
data_NaLaP2S
_chemical_formula_sum 'Na1 La1 P2 S1'
_space_group_name_H-M_alt 'P 1'
_space_group_IT_number 1
_cell_length_a 4.8144
_cell_length_b 4.8144
_cell_length_c 4.8859
_cell_angle_alpha 90.00
_cell_angle_beta 90.00
_cell_angle_gamma 90.00
loop_
_space_group_symop_operation_xyz
'x,y,z'
loop_
_atom_site_label
_atom_site_fract_x
_atom_site_fract_y
_atom_site_fract_z
_atom_site_occupancy
Na1 0.0000 0.0000 0.0000 1
La1 0.5000 0.5000 0.5000 1
P1 0.0000 0.5000 0.0000 1
P2 0.5000 0.0000 0.0000 1
S1 0.0000 0.0000 0.5000 1

***

# Na2LaSiP PBE optimized geometry
# ΔE_f (raw) ... 217 meV per atom
# SG ... P4/mmm (123)
data_Na2LaSiP
_chemical_formula_sum 'Na2 La1 Si1 P1'
_space_group_name_H-M_alt 'P 1'
_space_group_IT_number 1
_cell_length_a 5.0311
_cell_length_b 5.0311
_cell_length_c 5.1073
_cell_angle_alpha 90.00
_cell_angle_beta 90.00
_cell_angle_gamma 90.00
loop_
_space_group_symop_operation_xyz
'x,y,z'
loop_
_atom_site_label
_atom_site_fract_x
_atom_site_fract_y
_atom_site_fract_z
_atom_site_occupancy
Na1 0.0000 0.5000 0.0000 1
Na2 0.5000 0.0000 0.0000 1
La1 0.0000 0.0000 0.5000 1
Si1 0.5000 0.5000 0.5000 1
P1 0.5000 0.5000 0.0000 1

***

# NaLaTcP2 PBE optimized geometry
# E_tot ... -5.645 eV/atom
# SG ... P4/mmm (123)
data_NaLaTcP2
_chemical_formula_sum 'Na1 La1 Tc1 P2'
_space_group_name_H-M_alt 'P 1'
_space_group_IT_number 1
_cell_length_a 4.6515
_cell_length_b 4.6515
_cell_length_c 4.8913
_cell_angle_alpha 90.00
_cell_angle_beta 90.00
_cell_angle_gamma 90.00
loop_
_space_group_symop_operation_xyz
'x,y,z'
loop_
_atom_site_label
_atom_site_fract_x
_atom_site_fract_y
_atom_site_fract_z
_atom_site_occupancy
Na1 0.0000 0.0000 0.0000 1
La1 0.5000 0.5000 0.0000 1
Tc1 0.0000 0.0000 0.5000 1
P1 0.0000 0.5000 0.5000 1
P2 0.5000 0.0000 0.5000 1

***

# NaLaP2W PBE optimized geometry
# E_tot ... -5.973 eV/atom
# SG ... P4/mmm (123)
data_NaLaP2W
_chemical_formula_sum 'Na1 La1 P2 W1'
_space_group_name_H-M_alt 'P 1'
_space_group_IT_number 1
_cell_length_a 4.7160
_cell_length_b 4.7160
_cell_length_c 5.0680
_cell_angle_alpha 90.00
_cell_angle_beta 90.00
_cell_angle_gamma 90.00
loop_
_space_group_symop_operation_xyz
'x,y,z'
loop_
_atom_site_label
_atom_site_fract_x
_atom_site_fract_y
_atom_site_fract_z
_atom_site_occupancy
Na1 0.0000 0.0000 0.0000 1
La1 0.5000 0.5000 0.0000 1
P1 0.0000 0.5000 0.5000 1
P2 0.5000 0.0000 0.5000 1
W1 0.0000 0.0000 0.5000 1

***

# NaLa2Pa PBE optimized geometry
# E_tot ... -5.020 eV/atom
# SG ... P4/mmm (123)
data_NaLa2Pa
_chemical_formula_sum 'Na1 La2 Pa1'
_space_group_name_H-M_alt 'P 1'
_space_group_IT_number 1
_cell_length_a 3.4352
_cell_length_b 3.4352
_cell_length_c 11.1473
_cell_angle_alpha 90.00
_cell_angle_beta 90.00
_cell_angle_gamma 90.00
loop_
_space_group_symop_operation_xyz
'x,y,z'
loop_
_atom_site_label
_atom_site_fract_x
_atom_site_fract_y
_atom_site_fract_z
_atom_site_occupancy
Na1 0.0000 0.0000 0.0000 1
La1 0.5000 0.5000 0.2867 1
La2 0.5000 0.5000 0.7133 1
Pa1 0.0000 0.0000 0.5000 1